Entry from Alexandria via LeMat-Bulk: an optimized crystal structure of K2MgRe (GGA-PBEsol).

abc: 2.847 5.321 6.076
angles: 90.00 90.00 90.00
Space group Pmmm (No. 47)
Inequivalent atoms, fractional coordinates:
K (0.000, 0.000, 0.000) [1 per cell]
K (0.500, 0.500, 0.000) [1 per cell]
Mg (0.000, 0.500, 0.500) [1 per cell]
Re (0.500, 0.000, 0.500) [1 per cell]

Summary:
ΔE to the lowest computed polymorph (eV/f.u.): 1.10
E_form (eV/atom): 1.2809
Electronic total energy (eV per atom): -3.05